[1]
ZrAg2HgF | PBE-GGA | optimized geometry

```
ZrAg2HgF
1.0
4.814 0.000 0.000
0.000 4.814 0.000
0.000 0.000 4.251
Zr Ag Hg F
1 2 1 1
Cartesian
0.000 0.000 0.000
0.000 2.407 2.125
2.407 0.000 2.125
2.407 2.407 0.000
0.000 0.000 2.125
```

Summary:
Space-group type: P4/mmm, No. 123
Raw total energy in eV per atom: -3.60

---

[2]
HoAgF4 | PBE-GGA | optimized geometry

```
HoAgF4
1.0
-3.729 3.729 3.796
3.729 -3.729 3.796
3.729 3.729 -3.796
Ho Ag F
2 2 8
Cartesian
0.000 0.000 0.000
0.000 3.729 1.898
3.729 0.000 2.014
0.000 0.000 3.912
3.729 2.211 -2.146
0.000 1.519 1.650
1.480 3.729 0.373
2.249 0.000 4.169
3.729 2.249 2.271
-1.519 3.729 3.548
1.519 3.729 3.548
0.000 1.480 6.067
```

Summary:
Space-group type: I4_1md, No. 109
Energy above the lowest structure with this stoichiometry in meV per atom: 0
Raw total energy in eV per atom: -5.53

---

[3]
HoAg3F6 | PBE-GGA | optimized geometry

```
HoAg3F6
1.0
3.786 -5.821 0.000
3.786 5.821 0.000
0.000 0.000 3.856
Ho Ag F
1 3 6
Cartesian
0.000 0.000 0.000
1.893 2.910 1.928
1.893 -2.910 1.928
3.786 0.000 0.000
3.786 4.566 1.928
1.858 1.340 0.000
1.858 -1.340 0.000
5.713 1.340 0.000
5.713 -1.340 0.000
3.786 -4.566 1.928
```

Summary:
Space-group type: Cmmm, No. 65
Raw total energy in eV per atom: -4.64

---

[4]
HoAgF | PBE-GGA | optimized geometry

```
HoAgF
1.0
9.352 0.000 0.000
0.000 3.815 0.000
-4.369 0.000 6.968
Ho Ag F
4 4 4
Cartesian
0.551 0.000 1.834
-0.244 1.908 5.134
5.228 1.908 1.834
4.432 0.000 5.134
-2.985 1.908 6.554
3.293 0.000 0.415
1.691 0.000 6.554
7.969 1.908 0.415
-0.572 0.000 3.918
0.879 1.908 3.050
4.105 1.908 3.918
5.555 0.000 3.050
```

Summary:
Space-group type: C2/m, No. 12
Raw total energy in eV per atom: -4.93

---

[5]
HoAgF4 | PBE-GGA | optimized geometry

```
HoAgF4
1.0
7.595 0.000 0.000
0.000 7.979 0.000
0.000 0.000 3.572
Ho Ag F
2 2 8
Cartesian
0.000 0.000 0.000
3.797 3.989 0.000
0.000 3.989 1.786
3.797 0.000 1.786
0.000 1.329 1.786
0.000 6.649 1.786
1.659 3.989 0.000
2.139 0.000 0.000
3.797 2.660 1.786
3.797 5.319 1.786
5.456 0.000 0.000
5.936 3.989 0.000
```

Summary:
Space-group type: Cmmm, No. 65
Energy above the lowest structure with this stoichiometry in meV per atom: 25
Raw total energy in eV per atom: -5.50

---

[6]
HoAg2F5 | PBE-GGA | optimized geometry

```
HoAg2F5
1.0
10.388 0.000 0.000
0.000 7.105 0.000
0.000 0.000 6.380
Ho Ag F
4 8 20
Cartesian
0.059 1.776 0.464
5.135 5.329 3.654
5.253 1.776 2.726
10.329 5.329 5.916
1.778 0.020 3.404
1.778 3.533 3.404
3.416 3.573 0.214
3.416 7.085 0.214
6.972 0.020 6.166
6.972 3.533 6.166
8.610 3.573 2.976
8.610 7.085 2.976
0.159 1.776 2.677
0.841 3.824 0.951
0.841 6.833 0.951
1.800 1.776 5.514
2.073 5.329 5.236
3.121 1.776 2.046
3.393 5.329 2.324
4.353 0.272 4.141
4.353 3.281 4.141
5.035 5.329 5.867
5.353 1.776 0.512
6.034 3.824 2.239
6.034 6.833 2.239
6.994 1.776 4.056
7.267 5.329 4.333
8.315 1.776 1.144
8.587 5.329 0.866
9.547 0.272 5.429
9.547 3.281 5.429
10.229 5.329 3.702
```

Summary:
Space-group type: Pnma, No. 62
Raw total energy in eV per atom: -5.00